(1)
Fe5Co3: optimized geometry, GGA-PBE.

Computed properties:
The raw total energy is -63.8 eV per cell. The volume is 92.2 Å³/f.u. The value obtained for the magnetization is 18.282 Bohr magnetons per cell. As for the space group: R3m, No. 160. The calculation puts the energy of formation from the pure elements at -0.03 eV per atom. Its density of states at the Fermi level is 5.3 states/eV per cell. The excess energy over the best structure of this formula in the dataset is 33 meV per atom.

```
data_Fe5Co3
_space_group_name_H-M_alt 'P 1'
_space_group_IT_number 1
_space_group_name_Hall 'P 1'
_cell_length_a 6.975
_cell_length_b 6.975
_cell_length_c 6.975
_cell_angle_alpha 33.52
_cell_angle_beta 33.52
_cell_angle_gamma 33.52
loop_
_atom_site_label
_atom_site_fract_x
_atom_site_fract_y
_atom_site_fract_z
Fe1 0.000 0.000 0.000
Fe2 0.124 0.124 0.124
Fe3 0.251 0.251 0.251
Fe4 0.500 0.500 0.500
Fe5 0.874 0.874 0.874
Co1 0.375 0.375 0.375
Co2 0.625 0.625 0.625
Co3 0.751 0.751 0.751
```

---

(2)
Fe5Co2: optimized geometry, GGA-PBE.

Computed properties:
The raw total energy is -56.6 eV per cell. The volume is 80.6 Å³/f.u. The value obtained for the magnetization is 15.997 Bohr magnetons per cell. As for the space group: I4/mmm, No. 139. The calculation puts the energy of formation from the pure elements at -0.01 eV per atom. Its density of states at the Fermi level is 5.3 states/eV per cell. The excess energy over the best structure of this formula in the dataset is 40 meV per atom.

```
data_Fe5Co2
_space_group_name_H-M_alt 'P 1'
_space_group_IT_number 1
_space_group_name_Hall 'P 1'
_cell_length_a 10.218
_cell_length_b 10.218
_cell_length_c 10.218
_cell_angle_alpha 164.04
_cell_angle_beta 164.04
_cell_angle_gamma 22.65
loop_
_atom_site_label
_atom_site_fract_x
_atom_site_fract_y
_atom_site_fract_z
Fe1 0.000 0.000 0.000
Fe2 0.144 0.144 0.000
Fe3 0.429 0.429 0.000
Fe4 0.571 0.571 0.000
Fe5 0.856 0.856 0.000
Co1 0.286 0.286 0.000
Co2 0.714 0.714 0.000
```